Density functional theory data (PBE with a Hubbard U) for a relaxed MnTcI2O crystal.

The structure in CIF format:
```
data_MnTcI2O
_chemical_formula_sum 'Mn1 Tc1 I2 O1'
_cell_length_a 5.272
_cell_length_b 5.272
_cell_length_c 3.452
_cell_angle_alpha 90.00
_cell_angle_beta 90.00
_cell_angle_gamma 90.00
_space_group_name_H-M_alt 'P 1'
_space_group_IT_number 1
loop_
_space_group_symop_operation_xyz
'x,y,z'
loop_
_atom_site_label
_atom_site_type_symbol
_atom_site_fract_x
_atom_site_fract_y
_atom_site_fract_z
_atom_site_occupancy
I1 I 0.000 0.500 0.000 1
I2 I 0.500 0.000 0.000 1
Mn1 Mn 0.000 0.000 0.000 1
O1 O 0.000 0.000 0.500 1
Tc1 Tc 0.500 0.500 0.500 1
```

Values from the calculation:
For the energy above the most stable polymorph in this dataset, the calculation gives 24.60 kcal/mol of atoms. The volume is 19.2 Å³ per atom. Its space-group type is P4/mmm, No. 123. The density of states at the Fermi level comes out at 6.45 states/eV per cell.